No. 1
# BaTl2Cd, single point on PBEsol structure, DFT meta-GGA SCAN
data_BaTl2Cd
_chemical_formula_sum 'Ba2 Tl4 Cd2'
_space_group_name_H-M_alt 'I m m 2'
_space_group_IT_number 44
_cell_length_a 5.4992
_cell_length_b 5.5124
_cell_length_c 7.8136
_cell_angle_alpha 90.00
_cell_angle_beta 90.00
_cell_angle_gamma 90.00
loop_
_space_group_symop_operation_xyz
'x,y,z'
'-x,-y,z'
'-x,y,z'
'x,-y,z'
'x+1/2,y+1/2,z+1/2'
'-x+1/2,-y+1/2,z+1/2'
'-x+1/2,y+1/2,z+1/2'
'x+1/2,-y+1/2,z+1/2'
loop_
_atom_site_label
_atom_site_type_symbol
_atom_site_fract_x
_atom_site_fract_y
_atom_site_fract_z
Ba1 Ba 0.0000 0.0000 0.0000
Tl1 Tl 0.0000 0.0000 0.5003
Tl2 Tl 0.0000 0.5000 0.7505
Cd1 Cd 0.0000 0.5000 0.2495
# Fermi-level density of states = 3.082 states/eV per cell
# calculated volume = 29.608 Å³ per atom
# ρ = 9.2 g/cm3

***

No. 2
# RbY3Tc, single point on PBEsol structure, DFT meta-GGA SCAN
data_RbY3Tc
_chemical_formula_sum 'Rb1 Y3 Tc1'
_space_group_name_H-M_alt 'P m -3 m'
_space_group_IT_number 221
_space_group_name_Hall '-P 4 2 3'
_cell_length_a 5.4840
_cell_length_b 5.4840
_cell_length_c 5.4840
_cell_angle_alpha 90.00
_cell_angle_beta 90.00
_cell_angle_gamma 90.00
loop_
_atom_site_label
_atom_site_type_symbol
_atom_site_fract_x
_atom_site_fract_y
_atom_site_fract_z
Rb1 Rb 0.0000 0.0000 0.0000
Y1 Y 0.0000 0.5000 0.5000
Tc1 Tc 0.5000 0.5000 0.5000
# Fermi-level density of states = 5.550 states/eV per cell
# calculated volume = 32.985 Å³ per atom
# ρ = 4.5 g/cm3

***

The records above give, respectively, DFT formation energy values of -0.311 0.265 eV per atom.